[1]
Compound: YCr2Sb
Source: Alexandria
Functional: GGA-PBE
Structure: relaxed

Total magnetization: 0.7 Bohr magnetons per cell
DOS(E_F): 0.92 states/eV/atom
Space-group type: P4mm (99)

a b c (Å): 3.323 3.323 7.278
angles (deg): 90.00 90.00 90.00
Last column: magnetic moment on the atom in μB.
Sites, in units of the cell vectors:
Cr: 0.000 0.000 0.069  -2.45
Cr: 0.500 0.500 0.206  2.81
Sb: 0.000 0.000 0.454  -0.03
Y: 0.500 0.500 0.772  0.26



[2]
Compound: YCr2Sb
Source: Alexandria
Functional: GGA-PBE
Structure: relaxed

Total magnetization: 6.1 Bohr magnetons per cell
DOS(E_F): 0.97 states/eV/atom
Space-group type: P4/mmm (123)

a b c (Å): 4.422 4.420 4.038
angles (deg): 90.00 90.00 90.00
Last column: magnetic moment on the atom in μB.
Sites, in units of the cell vectors:
Cr: 0.000 0.000 0.000  2.88
Cr: 0.500 0.500 0.000  2.88
Sb: 0.500 0.000 0.500  -0.09
Y: 0.000 0.500 0.500  -0.05



[3]
Compound: YCrSb2
Source: Alexandria
Functional: GGA-PBE
Structure: relaxed

Total magnetization: 3.9 Bohr magnetons per cell
DOS(E_F): 0.87 states/eV/atom
E above lowest polymorph: 0.5292 eV/atom
Space-group type: F-43m (216)

a b c (Å): 5.198 5.198 5.198
angles (deg): 60.00 60.00 60.00
Last column: magnetic moment on the atom in μB.
Sites, in units of the cell vectors:
Cr: 0.500 0.500 0.500  3.72
Sb: 0.000 0.000 0.000  -0.05
Sb: 0.250 0.250 0.250  -0.10
Y: 0.750 0.750 0.750  0.02



[4]
Compound: YCr2Sb2
Source: Alexandria
Functional: GGA-PBE
Structure: relaxed

Total magnetization: 0.0 Bohr magnetons per cell
DOS(E_F): 0.80 states/eV/atom
E above lowest polymorph: 0.0000 eV/atom
Space-group type: I4/mmm (139)

a b c (Å): 4.871 4.871 5.532
angles (deg): 63.88 63.88 90.00
Sites, in units of the cell vectors:
Y: 0.000 0.000 0.000
Sb: 0.750 0.250 0.500
Sb: 0.250 0.750 0.500
Cr: 0.390 0.390 0.220
Cr: 0.610 0.610 0.780



[5]
Compound: YCrSb2
Source: Alexandria
Functional: GGA-PBE
Structure: relaxed

Total magnetization: 4.1 Bohr magnetons per cell
DOS(E_F): 0.45 states/eV/atom
E above lowest polymorph: 0.1472 eV/atom
Space-group type: Cm (8)

a b c (Å): 5.936 5.936 4.461
angles (deg): 76.57 76.57 40.58
Last column: magnetic moment on the atom in μB.
Sites, in units of the cell vectors:
Cr: 0.254 0.254 0.186  3.71
Sb: 0.008 0.008 0.064  -0.04
Sb: 0.753 0.753 0.675  -0.08
Y: 0.485 0.485 0.574  0.06



[6]
Compound: YCrSb4
Source: Alexandria
Functional: GGA-PBE
Structure: relaxed

Total magnetization: 4.8 Bohr magnetons per cell
DOS(E_F): 0.87 states/eV/atom
Space-group type: F-43m (216)

a b c (Å): 6.192 6.192 6.192
angles (deg): 60.00 60.00 60.00
Last column: magnetic moment on the atom in μB.
Sites, in units of the cell vectors:
Y: 0.750 0.750 0.750  0.03
Cr: 0.000 0.000 0.000  4.10
Sb: 0.877 0.374 0.374  -0.01
Sb: 0.374 0.374 0.877  -0.01
Sb: 0.374 0.877 0.374  -0.01
Sb: 0.374 0.374 0.374  -0.01



[7]
Compound: YCrSb3
Source: Alexandria
Functional: GGA-PBE
Structure: relaxed

Total magnetization: 4.6 Bohr magnetons per cell
DOS(E_F): 0.78 states/eV/atom
E above lowest polymorph: 0.6052 eV/atom
Space-group type: Pm-3m (221)

a b c (Å): 5.735 5.735 5.735
angles (deg): 90.00 90.00 90.00
Last column: magnetic moment on the atom in μB.
Sites, in units of the cell vectors:
Y: 0.000 0.000 0.000  0.02
Sb: 0.000 0.500 0.000  -0.05
Sb: 0.000 0.000 0.500  -0.07
Sb: 0.500 0.000 0.000  -0.03
Cr: 0.500 0.500 0.500  4.28



[8]
Compound: YCr2Sb2
Source: Alexandria
Functional: GGA-PBE
Structure: relaxed

Total magnetization: 4.5 Bohr magnetons per cell
DOS(E_F): 0.63 states/eV/atom
E above lowest polymorph: 0.0035 eV/atom
Space-group type: I4/mmm (139)

a b c (Å): 4.233 4.233 6.675
angles (deg): 71.51 71.51 90.00
Last column: magnetic moment on the atom in μB.
Sites, in units of the cell vectors:
Y: 0.000 0.000 0.000  -0.11
Sb: 0.376 0.376 0.248  -0.07
Sb: 0.624 0.624 0.752  -0.07
Cr: 0.750 0.250 0.500  2.30
Cr: 0.250 0.750 0.500  2.30



[9]
Compound: YCr2Sb
Source: Alexandria
Functional: GGA-PBE
Structure: relaxed

Total magnetization: 0.0 Bohr magnetons per cell
DOS(E_F): 0.60 states/eV/atom
Space-group type: Pm (6)

a b c (Å): 4.199 3.244 6.456
angles (deg): 77.79 90.00 90.00
Last column: magnetic moment on the atom in μB.
Sites, in units of the cell vectors:
Cr: 0.000 0.006 0.093  3.25
Cr: 0.500 0.437 0.191  -3.14
Sb: 0.000 0.334 0.479  0.01
Y: 0.500 0.723 0.736  -0.11



[10]
Compound: YCrSb2
Source: Alexandria
Functional: GGA-PBE
Structure: relaxed

Total magnetization: 3.9 Bohr magnetons per cell
DOS(E_F): 0.38 states/eV/atom
E above lowest polymorph: 0.2338 eV/atom
Space-group type: Pm (6)

a b c (Å): 5.390 3.375 5.876
angles (deg): 73.40 90.00 90.00
Last column: magnetic moment on the atom in μB.
Sites, in units of the cell vectors:
Cr: 0.500 0.885 0.852  3.62
Sb: 0.000 0.865 0.900  -0.06
Sb: 0.500 0.159 0.307  -0.07
Y: 0.000 0.592 0.441  0.02



[11]
Compound: YCr2Sb
Source: Alexandria
Functional: GGA-PBE
Structure: relaxed

Total magnetization: 0.0 Bohr magnetons per cell
DOS(E_F): 0.67 states/eV/atom
Space-group type: Imm2 (44)

a b c (Å): 5.534 5.534 4.386
angles (deg): 66.65 66.65 43.40
Last column: magnetic moment on the atom in μB.
Sites, in units of the cell vectors:
Cr: 0.023 0.023 0.977  3.25
Cr: 0.708 0.708 0.792  -3.27
Sb: 0.505 0.505 0.495  -0.03
Y: 0.264 0.264 0.236  0.00



[12]
Compound: YCr2Sb
Source: Alexandria
Functional: GGA-PBE
Structure: relaxed

Total magnetization: 16.4 Bohr magnetons per cell
DOS(E_F): 1.03 states/eV/atom
Space-group type: I-42d (122)

a b c (Å): 8.001 8.001 6.420
angles (deg): 51.45 51.45 90.00
Last column: magnetic moment on the atom in μB.
Sites, in units of the cell vectors:
Y: 0.500 0.500 0.000  0.05
Y: 0.250 0.750 0.500  0.05
Sb: 0.000 0.000 0.000  -0.08
Sb: 0.750 0.250 0.500  -0.08
Cr: 0.662 0.125 0.250  3.63
Cr: 0.088 0.625 0.250  3.67
Cr: 0.375 0.338 0.750  3.63
Cr: 0.875 0.912 0.750  3.67



The records above yield formation energy from raw total energies values of 0.10 0.19 0.10 -0.10 -0.29 0.30 0.73 -0.09 0.10 -0.20 0.09 0.52 eV/atom, respectively.